# 1
Material: FeNiSe2
Method: DFT, PBE-GGA
State: relaxed

DOS(E_F): 3.474 states/eV per cell
Space-group type: R-3m, No. 166
ΔE_f (raw): -63 meV per atom
Raw total energy: -5.366 eV per atom

Cell: 3.4991 3.4991 6.4682 Å, 74.29 74.29 60.02°
Atoms (fractional coordinates):
Ni1 0.7500 0.7500 0.7500
Fe1 0.2500 0.2500 0.2500
Se1 0.4967 0.4967 0.5105
Se2 0.0033 0.0033 0.9895


# 2
Material: FeNiSe2
Method: DFT, PBE-GGA
State: relaxed

DOS(E_F): 4.115 states/eV per cell
Space-group type: Pm, No. 6
ΔE_f (raw): -265 meV per atom
Raw total energy: -5.568 eV per atom

Cell: 3.7039 3.7012 5.7149 Å, 88.28 90.00 90.00°
Atoms (fractional coordinates):
Se1 0.0000 0.8627 0.8788
Fe1 0.0000 0.3747 0.6248
Ni1 0.5000 0.8750 0.6252
Se2 0.5000 0.3876 0.3712


# 3
Material: Fe3NiSe
Method: DFT, PBE-GGA
State: relaxed

DOS(E_F): 4.621 states/eV per cell
Space-group type: Pm-3m, No. 221
ΔE_f (raw): 837 meV per atom
Raw total energy: -6.094 eV per atom

Cell: 4.3747 4.3747 4.3747 Å, 90.00 90.00 90.00°
Atoms (fractional coordinates):
Fe1 0.0000 0.0000 0.5000
Fe2 0.5000 0.0000 0.0000
Ni1 0.0000 0.0000 0.0000
Se1 0.5000 0.5000 0.5000
Fe3 0.0000 0.5000 0.0000


# 4
Material: FeNi2Se6
Method: DFT, PBE-GGA
State: relaxed

DOS(E_F): 5.600 states/eV per cell
Space-group type: C2/m, No. 12
ΔE_f (raw): -235 meV per atom
Raw total energy: -4.783 eV per atom

Cell: 3.4626 6.0495 10.1354 Å, 113.93 90.00 106.63°
Atoms (fractional coordinates):
Se1 0.3220 0.6440 0.9257
Se2 0.0094 0.0188 0.7401
Se3 0.6600 0.3200 0.5928
Se4 0.3400 0.6800 0.4072
Ni1 0.3330 0.6660 0.1665
Se5 0.6780 0.3560 0.0743
Se6 0.9906 0.9812 0.2599
Ni2 0.6670 0.3340 0.8335
Fe1 0.0000 0.0000 0.5000


# 5
Material: FeNi3Se
Method: DFT, PBE-GGA
State: relaxed

DOS(E_F): 6.854 states/eV per cell
Space-group type: Pm-3m, No. 221
ΔE_f (raw): 650 meV per atom
Raw total energy: -5.209 eV per atom

Cell: 4.2969 4.2969 4.2969 Å, 90.00 90.00 90.00°
Atoms (fractional coordinates):
Se1 0.0000 0.0000 0.0000
Fe1 0.5000 0.5000 0.5000
Ni1 0.5000 0.0000 0.0000
Ni2 0.0000 0.0000 0.5000
Ni3 0.0000 0.5000 0.0000


# 6
Material: FeNi2Se6
Method: DFT, PBE-GGA
State: relaxed

DOS(E_F): 11.181 states/eV per cell
Space-group type: Pnnm, No. 58
ΔE_f (raw): -228 meV per atom
Raw total energy: -4.776 eV per atom

Cell: 6.2313 4.8336 10.6006 Å, 90.00 90.01 90.00°
Atoms (fractional coordinates):
Fe1 0.0000 0.0000 0.5000
Se1 0.6826 0.2322 0.8466
Se2 0.1794 0.2385 0.9999
Se3 0.6794 0.2615 0.4999
Ni1 0.0000 0.4998 0.1760
Se4 0.8206 0.7615 0.0001
Fe2 0.5000 0.5000 0.0000
Ni2 0.0000 0.5002 0.8240
Se5 0.6826 0.2317 0.1533
Se6 0.8174 0.7322 0.6534
Se7 0.1826 0.2683 0.6533
Se8 0.8174 0.7317 0.3467
Se9 0.3174 0.7683 0.8467
Se10 0.3206 0.7385 0.5001
Ni3 0.5000 0.0002 0.6760
Ni4 0.5000 0.9998 0.3240
Se11 0.3174 0.7678 0.1534
Se12 0.1826 0.2678 0.3466